(1)
18
Lattice="-8.264 2.411 -3.717 -6.971 -3.397 -5.272 -9.126 -2.126 0.346" Properties=species:S:1:pos:R:3 comment="Pr2CdCu3Ni12 PBE-GGA optimized geometry" sg="R-3m (166)" delta_e_f_kj_per_mol_fu=442 dos_at_fermi_per_ev_atom=1.3754 pbc="T T T"
Ni -12.782 -2.580 -5.593
Ni -17.881 -3.673 -6.030
Ni -5.962 -1.766 -3.237
Ni -17.536 -1.855 -7.657
Ni -13.597 -2.100 -3.469
Ni -6.826 -1.256 -0.986
Ni -10.764 -1.012 -5.174
Ni -13.271 -0.385 -5.005
Ni -18.399 -1.346 -5.406
Ni -11.090 -2.727 -3.638
Ni -11.579 -0.531 -3.050
Ni -6.480 0.561 -2.613
Pr -8.813 -1.126 -3.127
Pr -15.548 -1.986 -5.516
Cu -3.485 -1.699 -2.636
Cu -4.132 1.205 -1.858
Cu -4.563 -1.063 0.173
Cd 0.000 0.000 0.000



(2)
4
Lattice="2.942 0.000 0.000 0.000 2.942 0.000 0.000 0.000 7.279" Properties=species:S:1:pos:R:3 comment="GaAgPdPt PBE-GGA optimized geometry" sg="P4mm (99)" delta_e_f_kj_per_mol_fu=-160 dos_at_fermi_per_ev_atom=0.2306 pbc="T T T"
Pt 1.471 1.471 2.568
Ga 0.000 0.000 4.166
Pd 1.471 1.471 5.752
Ag 0.000 0.000 0.505



(3)
20
Lattice="-4.770 4.570 2.798 -3.796 -0.374 -5.861 -4.667 -7.799 4.783" Properties=species:S:1:pos:R:3 comment="Ca2PaIr2 PBE-GGA optimized geometry" sg="P2_1/c (14)" delta_e_f_kj_per_mol_fu=-277 dos_at_fermi_per_ev_atom=0.7083 pbc="T T T"
Ir -9.833 0.301 0.883
Ir -3.949 -1.577 -2.829
Ir -9.285 -2.026 4.548
Ir -9.486 -3.838 0.623
Ir -5.683 -1.670 2.493
Ir -3.400 -3.904 0.836
Ir -7.550 -1.933 -0.773
Ir -3.747 0.236 1.097
Pa -4.859 -1.792 -0.317
Pa -6.528 -2.198 -3.381
Pa -6.705 -1.405 5.101
Pa -8.375 -1.811 2.036
Ca -8.177 -4.710 4.938
Ca -8.602 0.711 -2.119
Ca -1.803 -0.003 -1.083
Ca -6.750 0.943 0.839
Ca -6.484 -4.545 0.881
Ca -5.056 1.108 -3.218
Ca -11.430 -3.600 2.802
Ca -4.631 -4.314 3.838



(4)
7
Lattice="5.573 0.000 0.000 0.000 5.573 0.000 2.786 2.786 7.204" Properties=species:S:1:pos:R:3 comment="Al2Pb4Au PBE-GGA optimized geometry" sg="I4/mmm (139)" delta_e_f_kj_per_mol_fu=270 dos_at_fermi_per_ev_atom=0.5786 pbc="T T T"
Pb 2.786 2.786 4.239
Pb 0.000 2.786 0.000
Pb 2.786 0.000 0.000
Pb 5.573 5.573 2.965
Al 5.573 5.573 5.809
Al 2.786 2.786 1.395
Au 0.000 0.000 0.000



(5)
9
Lattice="-3.217 2.638 -0.728 -4.966 -6.402 -1.257 1.452 0.534 7.770" Properties=species:S:1:pos:R:3 comment="Rb2ThCu2Se4 PBE-GGA optimized geometry" formation_energy_uncorrected_ev_per_atom=-1.13 sg="C2/m (12)" pbc="T T T"
Se -0.890 -0.324 2.759
Se -5.841 -2.906 3.026
Se -1.311 0.279 6.800
Se -5.420 -3.509 -1.016
Cu -0.157 1.122 4.760
Cu -6.574 -4.353 1.025
Rb -3.871 -0.113 4.442
Rb -2.860 -3.118 1.342
Th 0.000 0.000 0.000



(6)
9
Lattice="-3.671 -2.374 2.196 1.357 -5.851 1.392 1.967 -0.033 8.701" Properties=species:S:1:pos:R:3 comment="Ca3In4Ag2 PBE-GGA optimized geometry" sg="C2/m (12)" delta_e_f_kj_per_mol_fu=-354 dos_at_fermi_per_ev_atom=0.4923 pbc="T T T"
Ag -0.603 -1.904 7.831
Ag 0.257 -6.354 4.457
Ca 0.000 0.000 0.000
Ca 1.061 -4.960 7.309
Ca -1.408 -3.299 4.980
In -0.292 -2.919 1.805
In -1.935 -6.357 6.241
In 1.588 -1.901 6.048
In -0.054 -5.339 10.484



Number 1: theoretical density 7.5 g cm⁻³. Number 2: theoretical density 12.6 g cm⁻³. Number 3: theoretical density 9.0 g cm⁻³. Number 4: theoretical density 8.0 g cm⁻³. Number 5: theoretical density 5.6 g cm⁻³. Number 6: theoretical density 5.7 g cm⁻³.